Entry 1:
Entry from the Alexandria database: Np2Ge5Rh3 after structural relaxation (PBE).

Output
E above lowest polymorph = 0.000 eV/atom

a = 8.412 Å, b = 8.412 Å, c = 8.412 Å
α = 105.56°, β = 88.88°, γ = 138.71°
Sites, in units of the cell vectors:
1 Np 0.138 0.229 0.367
2 Np 0.362 0.729 0.092
3 Np 0.638 0.271 0.908
4 Np 0.862 0.771 0.633
5 Ge 0.033 0.750 0.283
6 Ge 0.095 0.665 0.760
7 Ge 0.250 0.250 0.000
8 Ge 0.405 0.165 0.570
9 Ge 0.467 0.750 0.717
10 Ge 0.533 0.250 0.283
11 Ge 0.595 0.835 0.430
12 Ge 0.750 0.750 0.000
13 Ge 0.905 0.335 0.240
14 Ge 0.967 0.250 0.717
15 Rh 0.143 0.895 0.038
16 Rh 0.250 0.750 0.500
17 Rh 0.357 0.395 0.751
18 Rh 0.643 0.605 0.249
19 Rh 0.750 0.250 0.500
20 Rh 0.857 0.105 0.962



Entry 2:
Entry from the Alexandria database: BaYCd4 after structural relaxation (PBE).

a = 6.148 Å, b = 6.148 Å, c = 6.148 Å
α = 60.00°, β = 60.00°, γ = 60.00°
Sites, in units of the cell vectors:
1 Ba 0.000 0.000 0.000
2 Y 0.250 0.250 0.250
3 Cd 0.128 0.624 0.624
4 Cd 0.624 0.128 0.624
5 Cd 0.624 0.624 0.128
6 Cd 0.624 0.624 0.624



Entry 3:
Entry from the Alexandria database: Sc3CrRu after structural relaxation (PBE).

Output
E above lowest polymorph = 0.000 eV/atom

a = 4.969 Å, b = 4.969 Å, c = 4.969 Å
α = 90.00°, β = 90.00°, γ = 90.00°
Sites, in units of the cell vectors:
1 Sc 0.000 0.000 0.500
2 Sc 0.000 0.500 0.000
3 Sc 0.500 0.000 0.000
4 Cr 0.500 0.500 0.500
5 Ru 0.000 0.000 0.000



Entry 4:
Entry from the Alexandria database: Hg2MoPb after structural relaxation (PBE).

a = 5.633 Å, b = 5.633 Å, c = 5.633 Å
α = 135.78°, β = 135.78°, γ = 64.32°
Sites, in units of the cell vectors:
1 Hg 0.000 0.000 0.000
2 Hg 0.750 0.250 0.500
3 Mo 0.250 0.750 0.500
4 Pb 0.500 0.500 0.000



The calculation returns the following theoretical density values, one per record and in order: 10497; 6831; 3896; 13638 kg/m³.
The calculation returns the following formation enthalpy at 0 K values, one per record and in order: -459; -227; 240; 644 meV/atom.